A relaxed structure of Pm4TlTe, computed with PBE.

Unit cell a=6.2371 b=8.9790 c=6.6107 alpha=90.00 beta=90.00 gamma=92.87
Element x y z (fractional)
Pm (0.6215, 0.3400, 0.7500)
Pm (0.3785, 0.6600, 0.2500)
Pm (0.3367, 0.9543, 0.7500)
Pm (0.6633, 0.0457, 0.2500)
Pm (0.8530, 0.6973, 0.9946)
Pm (0.1470, 0.3027, 0.4946)
Pm (0.8530, 0.6973, 0.5054)
Pm (0.1470, 0.3027, 0.0054)
Tl (0.3081, 0.6085, 0.7500)
Tl (0.6919, 0.3915, 0.2500)
Te (0.8327, 0.0254, 0.7500)
Te (0.1673, 0.9746, 0.2500)

**Total DFT energy (no corrections)**: -4.671 eV per atom
**Crystal system**: monoclinic
**Polymorph energy (0 for the lowest one)**: 0.00 eV/f.u.

A relaxed structure of Tc3HO, computed with PBE.

Unit cell a=3.8486 b=3.8486 c=3.8486 alpha=90.00 beta=90.00 gamma=90.00
Element x y z (fractional)
H (0.0000, 0.0000, 0.0000)
Tc (0.0000, 0.5000, 0.0000)
Tc (0.0000, 0.0000, 0.5000)
Tc (0.5000, 0.0000, 0.0000)
O (0.5000, 0.5000, 0.5000)

**Total DFT energy (no corrections)**: -7.085 eV per atom
**Crystal system**: cubic
**Polymorph energy (0 for the lowest one)**: 0.00 eV/f.u.